{
  "formula": "AlBiCl2",
  "functional": "PBE",
  "state": "relaxed",
  "dos_ef_per_ev_cell": 4.5,
  "raw_formation_energy_ev_per_atom": 0.00,
  "lattice_angstrom": [[0.0000, 3.6594, 3.6594], [3.6594, 0.0000, 3.6594], [3.6594, 3.6594, 0.0000]],
  "species": ["Bi", "Cl", "Cl", "Al"],
  "fractional_positions": [[0.5000, 0.5000, 0.5000], [0.7500, 0.7500, 0.7500], [0.2500, 0.2500, 0.2500], [0.0000, 0.0000, 0.0000]]
}